[1]
Pm2PaSi3Pt4 after structural relaxation. Source: Alexandria, functional PBE.

Results
Total magnetic moment ... 0.0 μB/cell
V ... 198.89 Å³/f.u.
Electronic total energy ... -6.926 eV per atom

Structure (POSCAR):
```
Pm2PaSi3Pt4
1.0
4.277 0.000 0.000
0.000 4.277 0.000
0.000 0.000 10.875
Pm Pa Si Pt
2 1 3 4
direct
0.000 0.500 0.224
0.500 0.000 0.776
0.000 0.000 0.500
0.000 0.500 0.882
0.500 0.000 0.118
0.500 0.500 0.500
0.000 0.000 0.000
0.000 0.500 0.662
0.500 0.000 0.338
0.500 0.500 0.000
```

[2]
Tm6CSe2S3 after structural relaxation. Source: Alexandria, functional PBE.

Results
Total magnetic moment ... 0.0 μB/cell
V ... 245.84 Å³/f.u.
Electronic total energy ... -6.278 eV per atom

Structure (POSCAR):
```
Tm6CSe2S3
1.0
3.385 -5.862 0.000
3.385 5.862 0.000
-2.242 0.000 6.194
Tm C Se S
6 1 2 3
direct
0.079 0.372 0.739
0.213 0.213 0.256
0.372 0.079 0.739
0.628 0.921 0.261
0.787 0.787 0.744
0.921 0.628 0.261
0.000 0.000 0.500
0.334 0.666 0.500
0.666 0.334 0.500
0.176 0.824 0.000
0.500 0.500 0.000
0.824 0.176 0.000
```

[3]
Zr2GePt after structural relaxation. Source: Alexandria, functional PBE.

Results
Total magnetic moment ... 0.0 μB/cell
V ... 78.61 Å³/f.u.
Energy of formation from the pure elements ... -3.657 eV per formula unit
Electronic total energy ... -7.853 eV per atom

Structure (POSCAR):
```
Zr2GePt
1.0
5.508 0.000 0.000
0.000 3.947 0.000
-2.696 0.000 7.231
Zr Ge Pt
4 2 2
direct
0.204 0.250 0.423
0.275 0.750 0.070
0.725 0.250 0.930
0.796 0.750 0.577
0.378 0.750 0.703
0.622 0.250 0.297
0.135 0.250 0.800
0.865 0.750 0.200
```

[4]
KIn2HgPt after structural relaxation. Source: Alexandria, functional PBE.

Results
Total magnetic moment ... 0.0 μB/cell
V ... 149.32 Å³/f.u.
Energy of formation from the pure elements ... -1.198 eV per formula unit
Electronic total energy ... -2.823 eV per atom

Structure (POSCAR):
```
KIn2HgPt
1.0
5.236 0.000 0.000
0.000 5.236 0.000
0.000 0.000 5.446
K In Hg Pt
1 2 1 1
direct
0.000 0.000 0.000
0.000 0.500 0.500
0.500 0.000 0.500
0.500 0.500 0.000
0.500 0.500 0.500
```

Q: Which value of total magnetic moment does entry 4 give?
A: 0.0 μB/cell

Q: What is the V in the third record?
A: 78.61 Å³/f.u.

Please write out number 3 again, unchanged.
Zr2GePt after structural relaxation. Source: Alexandria, functional PBE.

Results
Total magnetic moment ... 0.0 μB/cell
V ... 78.61 Å³/f.u.
Energy of formation from the pure elements ... -3.657 eV per formula unit
Electronic total energy ... -7.853 eV per atom

Structure (POSCAR):
```
Zr2GePt
1.0
5.508 0.000 0.000
0.000 3.947 0.000
-2.696 0.000 7.231
Zr Ge Pt
4 2 2
direct
0.204 0.250 0.423
0.275 0.750 0.070
0.725 0.250 0.930
0.796 0.750 0.577
0.378 0.750 0.703
0.622 0.250 0.297
0.135 0.250 0.800
0.865 0.750 0.200
```